[1]
Here is a relaxed In3P crystal from the Alexandria database. Energies are from PBE.

The calculation puts the volume at 25.87 Å³ per atom. The energy comes out at -3.36 eV/atom. The value obtained for the calculated formation energy is 48 meV/atom.

The space group is Pmmn (No. 59, origin choice 2) and the conventional cell measures 9.101, 17.310 and 3.942 Å, with angles of 90.00, 90.00 and 90.00 degrees. Symmetry generates all atoms from In at (0.044, 0.083, 0.000), In at (0.044, 0.750, 0.006), In at (0.250, 0.250, 0.494), In at (0.250, 0.583, 0.500), P at (0.250, 0.083, 0.499) and P at (0.250, 0.750, 0.505).

[2]
Here is a relaxed In3P crystal from the Alexandria database. Energies are from PBE.

The calculation puts the volume at 24.55 Å³ per atom. The energy comes out at -3.30 eV/atom. The value obtained for the calculated formation energy is 108 meV/atom.

The space group is Immm (No. 71) and the conventional cell measures 3.670, 4.876 and 10.975 Å, with angles of 90.00, 90.00 and 90.00 degrees. Symmetry generates all atoms from In at (0.000, 0.000, 0.000), In at (0.000, 0.500, 0.199) and P at (0.000, 0.000, 0.500).